1.
ScHgTeO: optimized geometry, GGA-PBE.

a = 5.397 Å, b = 5.416 Å, c = 12.848 Å
α = 90.00°, β = 92.69°, γ = 90.00°
Space group P2_1 (No. 4)
One atom of each set of equivalent atoms:
Sc 0.001 0.000 0.430 x2
Sc 0.491 0.505 0.428 x2
Hg 0.086 0.317 0.012 x2
Hg 0.463 0.584 0.893 x2
Te 0.143 0.877 0.740 x2
Te 0.238 0.768 0.248 x2
O 0.252 0.249 0.501 x2
O 0.254 0.744 0.503 x2

## Properties
- total energy (hartree per atom) = -0.195
- volume (A^3/atom) = 23.45



2.
ScHgTeO: optimized geometry, GGA-PBE.

a = 3.925 Å, b = 3.925 Å, c = 10.772 Å
α = 90.00°, β = 90.00°, γ = 90.00°
Space group P4/nmm (No. 129, origin choice 2)
One atom of each set of equivalent atoms:
Sc 0.250 0.250 0.079 x2
Hg 0.250 0.750 0.500 x2
Te 0.250 0.250 0.752 x2
O 0.250 0.750 0.000 x2

## Properties
- total energy (hartree per atom) = -0.189
- volume (A^3/atom) = 20.75



- The highest volume belongs to which entry?
  number 1